The following is a PBEsol calculation of a relaxed structure of Mg2ZnCu9, from Alexandria via LeMat-Bulk.

calculated density: 7.157 g/cm3
E: -0.134 hartree per atom
SG: R-3m (166)
energy of formation: 19 meV per atom

Unit cell a=4.809 b=4.809 c=8.418 alpha=73.40 beta=73.40 gamma=60.00
Fractional coordinates of all 12 atoms:
Cu (0.586, 0.081, 0.748)
Cu (0.414, 0.919, 0.252)
Cu (0.414, 0.414, 0.252)
Cu (0.919, 0.414, 0.252)
Cu (0.333, 0.333, 0.000)
Mg (0.858, 0.858, 0.426)
Zn (0.000, 0.000, 0.000)
Cu (0.667, 0.667, 0.000)
Cu (0.500, 0.500, 0.500)
Cu (0.081, 0.586, 0.748)
Mg (0.142, 0.142, 0.574)
Cu (0.586, 0.586, 0.748)


The following is a PBEsol calculation of a relaxed structure of Zr2AgAu, from Alexandria via LeMat-Bulk.

calculated density: 10.749 g/cm3
E: -0.244 hartree per atom
SG: P4/mmm (123)
energy of formation: -294 meV per atom

Unit cell a=2.996 b=2.996 c=8.384 alpha=90.00 beta=90.00 gamma=90.00
Fractional coordinates of all 4 atoms:
Au (0.500, 0.500, 0.500)
Zr (0.000, 0.000, 0.746)
Ag (0.500, 0.500, 0.000)
Zr (0.000, 0.000, 0.254)


The following is a PBEsol calculation of a relaxed structure of KZnO2, from Alexandria via LeMat-Bulk.

calculated density: 3.858 g/cm3
uncorrected formation energy: -1.099 eV/atom
E: -0.162 hartree per atom
SG: I-42d (122)

Unit cell a=5.367 b=5.367 c=5.367 alpha=101.96 beta=113.35 gamma=113.35
Fractional coordinates of all 8 atoms:
K (0.000, 0.500, 0.500)
Zn (0.000, 0.000, 0.000)
O (0.892, 0.017, 0.625)
O (0.608, 0.875, 0.983)
O (0.392, 0.375, 0.267)
O (0.108, 0.733, 0.125)
K (0.500, 0.250, 0.750)
Zn (0.500, 0.750, 0.250)


The following is a PBEsol calculation of a relaxed structure of Li4V2P4H3O16, from Alexandria via LeMat-Bulk.

calculated density: 2.942 g/cm3
E: -0.260 hartree per atom
SG: P1 (1)

Unit cell a=4.851 b=7.555 c=8.128 alpha=91.21 beta=91.22 gamma=103.64
Fractional coordinates of all 29 atoms:
O (0.885, 0.163, 0.542)
H (0.977, 0.996, 0.997)
Li (0.130, 0.676, 0.662)
P (0.374, 0.233, 0.157)
O (0.388, 0.663, 0.955)
V (0.492, 0.996, 0.505)
O (0.524, 0.811, 0.683)
O (0.631, 0.335, 0.061)
Li (0.877, 0.316, 0.353)
O (0.999, 0.706, 0.176)
O (0.647, 0.857, 0.319)
O (0.474, 0.181, 0.327)
H (0.521, 0.503, 0.328)
O (0.237, 0.059, 0.055)
P (0.633, 0.763, 0.851)
V (0.007, 0.501, 0.006)
O (0.244, 0.452, 0.587)
O (0.855, 0.649, 0.828)
H (0.446, 0.482, 0.555)
P (0.870, 0.745, 0.338)
O (0.355, 0.154, 0.683)
O (0.093, 0.816, 0.472)
P (0.118, 0.255, 0.666)
O (0.756, 0.948, 0.948)
Li (0.389, 0.853, 0.128)
Li (0.606, 0.158, 0.875)
O (0.696, 0.545, 0.400)
O (0.000, 0.299, 0.830)
O (0.176, 0.365, 0.189)


The following is a PBEsol calculation of a relaxed structure of YCrSe, from Alexandria via LeMat-Bulk.

calculated density: 6.246 g/cm3
uncorrected formation energy: -0.464 eV/atom
E: -0.273 hartree per atom
SG: P-6m2 (187)

Unit cell a=3.733 b=4.253 c=4.253 alpha=120.00 beta=90.00 gamma=90.00
Fractional coordinates of all 3 atoms:
Se (0.000, 0.333, 0.667)
Cr (0.000, 0.000, 0.000)
Y (0.500, 0.667, 0.333)


The following is a PBEsol calculation of a relaxed structure of MnSi2Ag, from Alexandria via LeMat-Bulk.

distance to the lowest polymorph of the same formula: 0 meV per atom
calculated density: 6.766 g/cm3
uncorrected formation energy: -0.017 eV/atom
E: -0.226 hartree per atom
SG: R-3m (166)

Unit cell a=2.779 b=2.779 c=8.196 alpha=80.24 beta=80.24 gamma=60.00
Fractional coordinates of all 4 atoms:
Si (0.261, 0.261, 0.216)
Ag (0.500, 0.500, 0.500)
Mn (0.000, 0.000, 0.000)
Si (0.739, 0.739, 0.784)


calculated density of number 6 (MnSi2Ag)?
6.766 g/cm3